1.
! CdGe2 PBE relaxed; values from VASP
! * total DFT energy (no corrections): -3.08 eV/atom
! * energy above the most stable polymorph in this dataset: 61 meV per atom
&SYSTEM
  ibrav = 0, nat = 6, ntyp = 2
/
ATOMIC_SPECIES
Ge 72.64 Ge.upf
Cd 112.41 Cd.upf
CELL_PARAMETERS angstrom
-4.9192 -1.0550 2.5840
-4.1129 -2.7341 -2.7563
-1.3482 -5.2949 1.4612
ATOMIC_POSITIONS crystal
Ge 0.1250 0.6250 0.6250
Cd 0.2500 0.2500 0.2500
Cd 0.0000 0.0000 0.0000
Ge 0.6250 0.6250 0.1250
Ge 0.6250 0.6250 0.6250
Ge 0.6250 0.1250 0.6250

---

2.
! CdGe2 PBE relaxed; values from VASP
! * total DFT energy (no corrections): -3.05 eV/atom
! * energy above the most stable polymorph in this dataset: 95 meV per atom
&SYSTEM
  ibrav = 0, nat = 3, ntyp = 2
/
ATOMIC_SPECIES
Ge 72.64 Ge.upf
Cd 112.41 Cd.upf
CELL_PARAMETERS angstrom
0.0000 3.2778 3.2778
3.2778 0.0000 3.2778
3.2778 3.2778 0.0000
ATOMIC_POSITIONS crystal
Ge 0.7500 0.7500 0.7500
Ge 0.2500 0.2500 0.2500
Cd 0.0000 0.0000 0.0000